# 1
# Dy6SbS5

A geometry-optimized Dy6SbS5 structure (PBE, Alexandria).

Output
formation energy (no corrections) = -21.738 eV per formula unit
total magnetization = 0.0 μB/f.u.
mass density = 7.720 g cm⁻³
space group = C2/m (12)
final energy = -0.454 Ry/atom

Lattice parameters (Å, degrees): 6.9019 6.9019 6.9513 99.57 99.57 120.02
Fractional coordinates of all 12 atoms:
S: 0.5000 0.5000 0.5000
Dy: 0.0894 0.4377 0.2668
S: 0.8403 0.1597 0.5000
Sb: 0.0000 0.0000 0.0000
S: 0.3323 0.6677 0.0000
Dy: 0.9106 0.5623 0.7332
Dy: 0.4377 0.0894 0.2668
S: 0.6677 0.3323 0.0000
Dy: 0.2613 0.2613 0.7371
S: 0.1597 0.8403 0.5000
Dy: 0.5623 0.9106 0.7332
Dy: 0.7387 0.7387 0.2629

=====

# 2
# Mn2Re2P

A geometry-optimized Mn2Re2P structure (PBE, Alexandria).

Output
offset from the most stable computed form = 0.000 eV per atom
total magnetization = 0.0 μB/f.u.
mass density = 12.924 g cm⁻³
space group = I4/mmm (139)
formation enthalpy at 0 K = 223 meV per atom
final energy = -0.699 Ry/atom

Lattice parameters (Å, degrees): 3.0762 3.0762 7.3008 77.84 77.84 90.00
Fractional coordinates of all 5 atoms:
P: 0.0000 0.0000 0.0000
Mn: 0.2500 0.7500 0.5000
Re: 0.4005 0.4005 0.1991
Mn: 0.7500 0.2500 0.5000
Re: 0.5995 0.5995 0.8009

=====

- Among the records above, which one has the lowest final energy?
  Mn2Re2P